[1]
Below is an optimized crystal structure of TaAs2Se, with properties calculated at the GGA-PBE level. Values from VASP.

The spin magnetization comes out at 0.0000 μB/atom. As for the final energy: -6.19 eV/atom. Its formation energy without anion corrections is -0.028 eV per atom.

The structure in Quantum ESPRESSO input format:
```
&SYSTEM
  ibrav = 0, nat = 4, ntyp = 3
/
ATOMIC_SPECIES
Ta 180.95 Ta.upf
As 74.92 As.upf
Se 78.96 Se.upf
ATOMIC_POSITIONS angstrom
Ta 0.0000 0.0000 0.0000
As 0.0000 0.0000 7.8612
As 0.0000 1.8554 4.6722
Se 1.8047 0.0000 4.7640
CELL_PARAMETERS angstrom
-1.8047 1.8554 6.7510
1.8047 -1.8554 6.7510
1.8047 1.8554 -6.7510
```

---

[2]
Below is an optimized crystal structure of TaAs2Se, with properties calculated at the GGA-PBE level. Values from VASP.

The spin magnetization comes out at 0.0000 μB/atom. As for the final energy: -5.88 eV/atom. Its formation energy without anion corrections is 0.282 eV per atom.

The structure in Quantum ESPRESSO input format:
```
&SYSTEM
  ibrav = 0, nat = 4, ntyp = 3
/
ATOMIC_SPECIES
Ta 180.95 Ta.upf
As 74.92 As.upf
Se 78.96 Se.upf
ATOMIC_POSITIONS angstrom
Ta 0.0000 0.0000 0.0000
As -0.0667 1.6435 2.5120
As 2.1322 0.0000 2.5120
Se 2.1989 1.6435 0.0000
CELL_PARAMETERS angstrom
4.3978 0.0000 0.0000
0.0000 3.2870 0.0000
-0.1335 0.0000 5.0240
```

---

[3]
Below is an optimized crystal structure of TaAsSe2, with properties calculated at the GGA-PBE level. Values from VASP.

The spin magnetization comes out at 0.0000 μB/atom. As for the final energy: -5.52 eV/atom. Its formation energy without anion corrections is 0.343 eV per atom.

The structure in Quantum ESPRESSO input format:
```
&SYSTEM
  ibrav = 0, nat = 4, ntyp = 3
/
ATOMIC_SPECIES
Ta 180.95 Ta.upf
As 74.92 As.upf
Se 78.96 Se.upf
ATOMIC_POSITIONS angstrom
Ta 0.0000 0.0000 0.0000
As 4.9755 4.9755 4.9755
Se 1.6585 1.6585 1.6585
Se 3.3170 3.3170 3.3170
CELL_PARAMETERS angstrom
0.0000 3.3170 3.3170
3.3170 0.0000 3.3170
3.3170 3.3170 0.0000
```

---

[4]
Below is an optimized crystal structure of TaAsSe2, with properties calculated at the GGA-PBE level. Values from VASP.

The spin magnetization comes out at 0.0000 μB/atom. As for the final energy: -5.95 eV/atom. Its formation energy without anion corrections is -0.087 eV per atom.

The structure in Quantum ESPRESSO input format:
```
&SYSTEM
  ibrav = 0, nat = 4, ntyp = 3
/
ATOMIC_SPECIES
Ta 180.95 Ta.upf
As 74.92 As.upf
Se 78.96 Se.upf
ATOMIC_POSITIONS angstrom
Ta 0.0000 0.0000 0.0000
As 0.0000 0.0000 6.3729
Se 1.6906 0.0000 2.0484
Se 0.0000 2.1610 4.3245
CELL_PARAMETERS angstrom
-1.6906 2.1610 6.3729
1.6906 -2.1610 6.3729
1.6906 2.1610 -6.3729
```

---

[5]
Below is an optimized crystal structure of TaAsSe2, with properties calculated at the GGA-PBE level. Values from VASP.

The spin magnetization comes out at 0.0000 μB/atom. As for the final energy: -5.53 eV/atom. Its formation energy without anion corrections is 0.340 eV per atom.

The structure in Quantum ESPRESSO input format:
```
&SYSTEM
  ibrav = 0, nat = 4, ntyp = 3
/
ATOMIC_SPECIES
Ta 180.95 Ta.upf
As 74.92 As.upf
Se 78.96 Se.upf
ATOMIC_POSITIONS angstrom
Ta 0.0000 0.0000 0.0000
As 1.6693 0.0000 2.6593
Se 0.0000 2.1323 2.6593
Se 1.6693 2.1323 0.0000
CELL_PARAMETERS angstrom
3.3385 0.0000 0.0000
0.0000 4.2646 0.0000
0.0000 0.0000 5.3185
```

---

[6]
Below is an optimized crystal structure of TaAsSe2, with properties calculated at the GGA-PBE level. Values from VASP.

The spin magnetization comes out at 0.0000 μB/atom. As for the final energy: -5.66 eV/atom. Its formation energy without anion corrections is 0.204 eV per atom.

The structure in Quantum ESPRESSO input format:
```
&SYSTEM
  ibrav = 0, nat = 4, ntyp = 3
/
ATOMIC_SPECIES
Ta 180.95 Ta.upf
As 74.92 As.upf
Se 78.96 Se.upf
ATOMIC_POSITIONS angstrom
Ta 0.0000 0.0000 0.0000
As 1.6301 1.6529 2.6435
Se -0.5802 0.0000 2.6435
Se 2.2103 1.6529 0.0000
CELL_PARAMETERS angstrom
4.4206 0.0000 0.0000
0.0000 3.3058 0.0000
-1.1604 0.0000 5.2869
```